This record from Alexandria via LeMat-Bulk describes a geometry-optimized YRuCl2 structure. The functional is PBE-GGA.

Cell: 7.1940 7.1940 7.1940 Å, 153.31 147.25 42.73°
Fractional coordinates of all 4 atoms:
Y 0.0000 0.0000 0.0000
Ru 0.1548 0.6548 0.5000
Cl 0.4012 0.4012 0.0000
Cl 0.6494 0.1494 0.5000

Summary:
- E_tot: -22.08 eV for the cell shown
- SG: No. 44
- ΔE to the lowest computed polymorph: 176 meV/atom
- Raw formation energy: -663 meV per atom
- Volume: 22.561 Å³/atom

This record from Alexandria via LeMat-Bulk describes a geometry-optimized Y2RuCl structure. The functional is PBE-GGA.

Cell: 4.9608 4.9608 4.9608 Å, 60.00 60.00 60.00°
Fractional coordinates of all 4 atoms:
Y 0.2500 0.2500 0.2500
Y 0.7500 0.7500 0.7500
Ru 0.0000 0.0000 0.0000
Cl 0.5000 0.5000 0.5000

Summary:
- E_tot: -25.92 eV for the cell shown
- SG: No. 225
- ΔE to the lowest computed polymorph: 484 meV/atom
- Raw formation energy: -467 meV per atom
- Volume: 21.581 Å³/atom

This record from Alexandria via LeMat-Bulk describes a geometry-optimized YRuCl structure. The functional is PBE-GGA.

Cell: 4.3070 4.3070 3.4422 Å, 90.00 90.00 120.00°
Fractional coordinates of all 3 atoms:
Y 0.0000 0.0000 0.0000
Ru 0.3333 0.6667 0.5000
Cl 0.6667 0.3333 0.5000

Summary:
- E_tot: -18.63 eV for the cell shown
- SG: No. 187
- Raw formation energy: -348 meV per atom
- Volume: 18.433 Å³/atom

This record from Alexandria via LeMat-Bulk describes a geometry-optimized Y4RuCl structure. The functional is PBE-GGA.

Cell: 6.2085 6.2085 6.2085 Å, 60.00 60.00 60.00°
Fractional coordinates of all 6 atoms:
Y 0.3770 0.3770 0.3770
Y 0.3770 0.3770 0.8689
Y 0.3770 0.8689 0.3770
Y 0.8689 0.3770 0.3770
Ru 0.7500 0.7500 0.7500
Cl 0.0000 0.0000 0.0000

Summary:
- E_tot: -32.59 eV for the cell shown
- SG: No. 216
- Raw formation energy: 732 meV per atom
- Volume: 28.203 Å³/atom

This record from Alexandria via LeMat-Bulk describes a geometry-optimized Y2RuCl structure. The functional is PBE-GGA.

Cell: 7.9169 7.9169 7.9169 Å, 28.66 28.66 28.66°
Fractional coordinates of all 4 atoms:
Y 0.0000 0.0000 0.0000
Y 0.1987 0.1987 0.1987
Ru 0.6000 0.6000 0.6000
Cl 0.7703 0.7703 0.7703

Summary:
- E_tot: -27.27 eV for the cell shown
- SG: No. 160
- ΔE to the lowest computed polymorph: 146 meV/atom
- Raw formation energy: -804 meV per atom
- Volume: 25.225 Å³/atom

This record from Alexandria via LeMat-Bulk describes a geometry-optimized YRuCl2 structure. The functional is PBE-GGA.

Cell: 7.1125 7.1125 4.5354 Å, 92.67 92.67 28.51°
Fractional coordinates of all 4 atoms:
Y 0.0000 0.0000 0.0000
Ru 0.5000 0.5000 0.5000
Cl 0.3584 0.3584 0.7770
Cl 0.6416 0.6416 0.2230

Summary:
- E_tot: -22.79 eV for the cell shown
- SG: No. 12
- ΔE to the lowest computed polymorph: 0 meV/atom
- Raw formation energy: -839 meV per atom
- Volume: 27.350 Å³/atom

This record from Alexandria via LeMat-Bulk describes a geometry-optimized YRuCl structure. The functional is PBE-GGA.

Cell: 7.1354 7.0727 3.1953 Å, 78.10 75.91 25.99°
Fractional coordinates of all 3 atoms:
Y 0.0000 0.0000 0.0000
Ru 0.3612 0.3612 0.6388
Cl 0.6368 0.6368 0.3632

Summary:
- E_tot: -18.42 eV for the cell shown
- SG: No. 42
- Raw formation energy: -279 meV per atom
- Volume: 22.835 Å³/atom

This record from Alexandria via LeMat-Bulk describes a geometry-optimized Y2RuCl structure. The functional is PBE-GGA.

Cell: 3.3674 3.3674 7.9909 Å, 90.00 90.00 90.00°
Fractional coordinates of all 4 atoms:
Y 0.0000 0.0000 0.2111
Y 0.0000 0.0000 0.7889
Ru 0.5000 0.5000 0.0000
Cl 0.5000 0.5000 0.5000

Summary:
- E_tot: -27.52 eV for the cell shown
- SG: No. 123
- ΔE to the lowest computed polymorph: 84 meV/atom
- Raw formation energy: -867 meV per atom
- Volume: 22.652 Å³/atom